No. 1
Material: Mg2AlPt
Method: DFT, GGA-PBE
State: optimized geometry

As for the total magnetization: 0.00 μB per formula unit. The total energy is -3.761 eV per atom. The formation energy is -0.52 eV/atom. Its crystal system is tetragonal. The density of states at the Fermi level comes out at 2.2 states/eV/f.u. The value obtained for the volume is 16.79 Å³/atom.

The space group is P4/mmm (No. 123) and the conventional cell measures 4.007, 4.007 and 4.184 Å, with angles of 90.00, 90.00 and 90.00 degrees. The inequivalent atoms are Mg at (0.000, 0.500, 0.000), Al at (0.000, 0.000, 0.500) and Pt at (0.500, 0.500, 0.500).

=====

No. 2
Material: ZnCr5
Method: DFT, GGA-PBE
State: optimized geometry

As for the total magnetization: 0.00 μB per formula unit. The total energy is -7.912 eV per atom. The formation energy is 0.32 eV/atom. Its crystal system is monoclinic. The density of states at the Fermi level comes out at 6.6 states/eV/f.u. Its offset from the most stable computed form is 178 meV per atom. The value obtained for the volume is 12.08 Å³/atom.

The space group is Cm (No. 8) and the conventional cell measures 9.735, 2.367 and 6.475 Å, with angles of 90.00, 103.74 and 90.00 degrees. The inequivalent atoms are Zn at (0.000, 0.000, 0.000), Cr at (0.092, 0.500, 0.695), Cr at (0.168, 0.500, 0.339), Cr at (0.265, 0.000, 0.030), Cr at (0.335, 0.000, 0.667) and Cr at (0.432, 0.500, 0.359).

=====

No. 3
Material: YMn2Si
Method: DFT, GGA-PBE
State: optimized geometry

As for the total magnetization: 1.28 μB per formula unit. The total energy is -7.602 eV per atom. Its crystal system is tetragonal. The density of states at the Fermi level comes out at 2.9 states/eV/f.u. The value obtained for the volume is 15.26 Å³/atom.

The space group is P4mm (No. 99) and the conventional cell measures 2.972, 2.972 and 6.909 Å, with angles of 90.00, 90.00 and 90.00 degrees. The inequivalent atoms are Y at (0.000, 0.000, 0.000), Mn at (0.000, 0.000, 0.499), Mn at (0.500, 0.500, 0.313) and Si at (0.500, 0.500, 0.686).

=====

No. 4
Material: LaSc2Ru
Method: DFT, GGA-PBE
State: optimized geometry

As for the total magnetization: 0.00 μB per formula unit. The total energy is -6.914 eV per atom. The formation energy is -0.20 eV/atom. Its crystal system is orthorhombic. The density of states at the Fermi level comes out at 4.2 states/eV/f.u. Its offset from the most stable computed form is 129 meV per atom. The value obtained for the volume is 23.93 Å³/atom.

The space group is Immm (No. 71) and the conventional cell measures 3.417, 5.238 and 10.696 Å, with angles of 90.00, 90.00 and 90.00 degrees. The inequivalent atoms are La at (0.000, 0.000, 0.000), Sc at (0.000, 0.500, 0.197) and Ru at (0.000, 0.000, 0.500).

=====

No. 5
Material: LaZn2Re
Method: DFT, GGA-PBE
State: optimized geometry

As for the total magnetization: 0.67 μB per formula unit. The total energy is -4.581 eV per atom. The formation energy is 0.40 eV/atom. Its crystal system is trigonal. The density of states at the Fermi level comes out at 2.5 states/eV/f.u. Its offset from the most stable computed form is 189 meV per atom. The value obtained for the volume is 18.67 Å³/atom.

The space group is R-3m (No. 166, hexagonal axes) and the conventional cell measures 2.9314, 2.9314 and 30.0986 Å, with angles of 90.00, 90.00 and 120.00 degrees. The inequivalent atoms are La at (0.0000, 0.0000, 0.0000), Zn at (0.0000, 0.0000, 0.2383) and Re at (0.0000, 0.0000, 0.5000).

=====

No. 6
Material: K2Sn3
Method: DFT, GGA-PBE
State: optimized geometry

As for the total magnetization: 0.00 μB per formula unit. The total energy is -3.008 eV per atom. The formation energy is -0.17 eV/atom. Its crystal system is orthorhombic. The density of states at the Fermi level comes out at 2.5 states/eV/f.u. The value obtained for the volume is 36.56 Å³/atom.

The space group is Cmce (No. 64) and the conventional cell measures 6.359, 12.830 and 8.963 Å, with angles of 90.00, 90.00 and 90.00 degrees. The inequivalent atoms are K at (0.000, 0.154, 0.110), Sn at (0.000, 0.000, 0.500) and Sn at (0.250, 0.102, 0.750).

=====

No. 7
Material: BeCrRh2
Method: DFT, GGA-PBE
State: optimized geometry

As for the total magnetization: 1.50 μB per formula unit. The total energy is -7.198 eV per atom. The formation energy is -0.19 eV/atom. Its crystal system is orthorhombic. The density of states at the Fermi level comes out at 3.3 states/eV/f.u. The value obtained for the volume is 12.19 Å³/atom.

The space group is Imm2 (No. 44) and the conventional cell measures 2.835, 4.086 and 8.416 Å, with angles of 90.00, 90.00 and 90.00 degrees. The inequivalent atoms are Be at (0.000, 0.000, 0.000), Cr at (0.000, 0.500, 0.736), Rh at (0.000, 0.000, 0.499) and Rh at (0.000, 0.500, 0.279).

=====

No. 8
Material: ZrNi2Hg
Method: DFT, GGA-PBE
State: optimized geometry

As for the total magnetization: 0.00 μB per formula unit. The total energy is -5.096 eV per atom. The formation energy is 0.01 eV/atom. Its crystal system is cubic. The density of states at the Fermi level comes out at 4.2 states/eV/f.u. The value obtained for the volume is 16.32 Å³/atom.

The space group is F-43m (No. 216) and the conventional cell measures 6.391, 6.391 and 6.391 Å, with angles of 90.00, 90.00 and 90.00 degrees. The inequivalent atoms are Zr at (0.000, 0.000, 0.000), Ni at (0.000, 0.000, 0.500), Ni at (0.250, 0.250, 0.750) and Hg at (0.250, 0.250, 0.250).

=====

No. 9
Material: Dy2InNi9
Method: DFT, GGA-PBE
State: optimized geometry

As for the total magnetization: 1.25 μB per formula unit. The total energy is -5.594 eV per atom. The formation energy is -0.26 eV/atom. Its crystal system is trigonal. The density of states at the Fermi level comes out at 13.5 states/eV/f.u. The value obtained for the volume is 14.15 Å³/atom.

The space group is R-3m (No. 166, hexagonal axes) and the conventional cell measures 4.9192, 4.9192 and 24.2989 Å, with angles of 90.00, 90.00 and 120.00 degrees. The inequivalent atoms are Dy at (0.0000, 0.0000, 0.1364), In at (0.0000, 0.0000, 0.0000), Ni at (0.0000, 0.0000, 0.3330), Ni at (0.0000, 0.0000, 0.5000) and Ni at (0.0012, 0.5006, 0.9178).

=====

No. 10
Material: TbErMgHg
Method: DFT, GGA-PBE
State: optimized geometry

As for the total magnetization: 0.00 μB per formula unit. The total energy is -3.050 eV per atom. The formation energy is -0.28 eV/atom. Its crystal system is tetragonal. The density of states at the Fermi level comes out at 4.5 states/eV/f.u. Its offset from the most stable computed form is 0 meV per atom. The value obtained for the volume is 26.17 Å³/atom.

The space group is P4mm (No. 99) and the conventional cell measures 3.773, 3.773 and 7.353 Å, with angles of 90.00, 90.00 and 90.00 degrees. The inequivalent atoms are Tb at (0.000, 0.000, 0.000), Er at (0.000, 0.000, 0.491), Mg at (0.500, 0.500, 0.742) and Hg at (0.500, 0.500, 0.252).

=====

No. 11
Material: La7TlS5
Method: DFT, GGA-PBE
State: optimized geometry

As for the total magnetization: 0.90 μB per formula unit. The total energy is -6.143 eV per atom. Its crystal system is monoclinic. The density of states at the Fermi level comes out at 9.4 states/eV/f.u. The value obtained for the volume is 28.07 Å³/atom.

The space group is P2_1/m (No. 11) and the conventional cell measures 4.186, 25.196 and 7.227 Å, with angles of 90.00, 106.79 and 90.00 degrees. The inequivalent atoms are La at (0.019, 0.250, 0.038), La at (0.135, 0.535, 0.271), La at (0.324, 0.170, 0.649), La at (0.408, 0.606, 0.817), Tl at (0.298, 0.750, 0.597), S at (0.042, 0.640, 0.084), S at (0.227, 0.069, 0.454) and S at (0.500, 0.000, 0.000).

=====

No. 12
Material: KEu3P
Method: DFT, GGA-PBE
State: optimized geometry

As for the total magnetization: 22.69 μB per formula unit. The total energy is -7.869 eV per atom. The formation energy is -0.40 eV/atom. Its crystal system is cubic. The density of states at the Fermi level comes out at 25.4 states/eV/f.u. The value obtained for the volume is 41.43 Å³/atom.

The space group is Pm-3m (No. 221) and the conventional cell measures 5.917, 5.917 and 5.917 Å, with angles of 90.00, 90.00 and 90.00 degrees. The inequivalent atoms are K at (0.000, 0.000, 0.000), Eu at (0.000, 0.500, 0.500) and P at (0.500, 0.500, 0.500).

=====

No. 13
Material: LaMgRh
Method: DFT, GGA-PBE
State: optimized geometry

As for the total magnetization: 0.00 μB per formula unit. The total energy is -5.081 eV per atom. The formation energy is -0.46 eV/atom. Its crystal system is cubic. The density of states at the Fermi level comes out at 1.0 states/eV/f.u. The value obtained for the volume is 25.88 Å³/atom.

The space group is F-43m (No. 216) and the conventional cell measures 6.772, 6.772 and 6.772 Å, with angles of 90.00, 90.00 and 90.00 degrees. The inequivalent atoms are La at (0.000, 0.000, 0.000), Mg at (0.000, 0.000, 0.500) and Rh at (0.250, 0.250, 0.250).

=====

No. 14
Material: NbCrPS2
Method: DFT, GGA-PBE
State: optimized geometry

As for the total magnetization: 4.02 μB per formula unit. The total energy is -6.300 eV per atom. Its crystal system is tetragonal. The density of states at the Fermi level comes out at 3.6 states/eV/f.u. Its offset from the most stable computed form is 0 meV per atom. The value obtained for the volume is 18.01 Å³/atom.

The space group is P4/mmm (No. 123) and the conventional cell measures 4.460, 4.460 and 4.526 Å, with angles of 90.00, 90.00 and 90.00 degrees. The inequivalent atoms are Nb at (0.000, 0.000, 0.000), Cr at (0.500, 0.500, 0.500), P at (0.500, 0.500, 0.000) and S at (0.000, 0.500, 0.500).

=====

No. 15
Material: CsZn3Si
Method: DFT, GGA-PBE
State: optimized geometry

As for the total magnetization: 0.00 μB per formula unit. The total energy is -1.715 eV per atom. Its crystal system is cubic. The density of states at the Fermi level comes out at 2.5 states/eV/f.u. Its offset from the most stable computed form is 0 meV per atom. The value obtained for the volume is 27.15 Å³/atom.

The space group is Pm-3m (No. 221) and the conventional cell measures 5.139, 5.139 and 5.139 Å, with angles of 90.00, 90.00 and 90.00 degrees. The inequivalent atoms are Cs at (0.000, 0.000, 0.000), Zn at (0.000, 0.500, 0.500) and Si at (0.500, 0.500, 0.500).

=====

No. 16
Material: Cu2PCl
Method: DFT, GGA-PBE
State: optimized geometry

As for the total magnetization: 0.00 μB per formula unit. The total energy is -3.763 eV per atom. Its crystal system is orthorhombic. The density of states at the Fermi level comes out at 1.3 states/eV/f.u. Its offset from the most stable computed form is 195 meV per atom. The value obtained for the volume is 15.27 Å³/atom.

The space group is Pmmm (No. 47) and the conventional cell measures 3.115, 3.818 and 5.136 Å, with angles of 90.00, 90.00 and 90.00 degrees. The inequivalent atoms are Cu at (0.000, 0.000, 0.000), Cu at (0.500, 0.500, 0.500), P at (0.000, 0.000, 0.500) and Cl at (0.500, 0.500, 0.000).

=====

No. 17
Material: TlCdC2N
Method: DFT, GGA-PBE
State: optimized geometry

As for the total magnetization: 3.56 μB per formula unit. The total energy is -2.647 eV per atom. Its crystal system is tetragonal. The density of states at the Fermi level comes out at 2.8 states/eV/f.u. The value obtained for the volume is 22.87 Å³/atom.

The space group is P4/mmm (No. 123) and the conventional cell measures 4.267, 4.267 and 6.282 Å, with angles of 90.00, 90.00 and 90.00 degrees. The inequivalent atoms are Tl at (0.000, 0.000, 0.000), Cd at (0.000, 0.000, 0.500), C at (0.000, 0.500, 0.000) and N at (0.500, 0.500, 0.500).

=====

No. 18
Material: LuAlCuAu
Method: DFT, GGA-PBE
State: optimized geometry

As for the total magnetization: 0.00 μB per formula unit. The total energy is -4.459 eV per atom. The formation energy is -0.55 eV/atom. Its crystal system is cubic. The density of states at the Fermi level comes out at 1.3 states/eV/f.u. The value obtained for the volume is 17.71 Å³/atom.

The space group is F-43m (No. 216) and the conventional cell measures 6.569, 6.569 and 6.569 Å, with angles of 90.00, 90.00 and 90.00 degrees. The inequivalent atoms are Lu at (0.000, 0.000, 0.000), Al at (0.000, 0.000, 0.500), Cu at (0.250, 0.250, 0.250) and Au at (0.250, 0.250, 0.750).

=====

No. 19
Material: Sm2Pd6Au
Method: DFT, GGA-PBE
State: optimized geometry

As for the total magnetization: 0.00 μB per formula unit. The total energy is -5.503 eV per atom. The formation energy is -0.63 eV/atom. Its crystal system is trigonal. The density of states at the Fermi level comes out at 3.6 states/eV/f.u. Its offset from the most stable computed form is 0 meV per atom. The value obtained for the volume is 19.39 Å³/atom.

The space group is P-3m1 (No. 164) and the conventional cell measures 5.7023, 5.7023 and 6.1965 Å, with angles of 90.00, 90.00 and 120.00 degrees. The inequivalent atoms are Sm at (0.3333, 0.6667, 0.3281), Pd at (0.1751, 0.3503, 0.8276) and Au at (0.0000, 0.0000, 0.5000).

=====

No. 20
Material: CaDy2InAu4
Method: DFT, GGA-PBE
State: optimized geometry

As for the total magnetization: 0.00 μB per formula unit. The total energy is -4.150 eV per atom. The formation energy is -0.77 eV/atom. Its crystal system is trigonal. The density of states at the Fermi level comes out at 4.0 states/eV/f.u. The value obtained for the volume is 22.41 Å³/atom.

The space group is R-3m (No. 166, hexagonal axes) and the conventional cell measures 5.0042, 5.0042 and 24.8045 Å, with angles of 90.00, 90.00 and 120.00 degrees. The inequivalent atoms are Ca at (0.0000, 0.0000, 0.0000), Dy at (0.0000, 0.0000, 0.2451), In at (0.0000, 0.0000, 0.5000), Au at (0.0000, 0.0000, 0.1219) and Au at (0.0000, 0.0000, 0.3732).